VASP calculation (PBE) on a geometry-optimized Ti2FeHPt structure.

Lattice parameters (Å, degrees): 4.0736 4.0736 3.5700 90.00 90.00 90.00
Space group P4/mmm (No. 123)
Unique sites:
Ti: 0.0000 0.5000 0.0000 (multiplicity 2)
Fe: 0.0000 0.0000 0.5000 (multiplicity 1)
H: 0.0000 0.0000 0.0000 (multiplicity 1)
Pt: 0.5000 0.5000 0.5000 (multiplicity 1)

Calculated values
VASP energy in eV per atom: -7.277


VASP calculation (PBE) on a geometry-optimized ZrCu2F8 structure.

Lattice parameters (Å, degrees): 6.5403 6.5403 3.9849 90.00 90.00 120.00
Space group P-3 (No. 147)
Unique sites:
Zr: 0.0000 0.0000 0.0000 (multiplicity 1)
Cu: 0.3333 0.6667 0.7388 (multiplicity 2)
F: 0.1553 0.3118 0.7427 (multiplicity 6)
F: 0.3333 0.6667 0.2393 (multiplicity 2)

Calculated values
E_form (uncorrected) in eV/atom: -2.343
VASP energy in eV per atom: -5.225


VASP calculation (PBE) on a geometry-optimized ReTeO2 structure.

Lattice parameters (Å, degrees): 3.0017 3.0017 27.8084 90.00 90.00 120.00
Space group R-3m (No. 166, hexagonal axes)
Unique sites:
Re: 0.0000 0.0000 0.0000 (multiplicity 3)
Te: 0.0000 0.0000 0.5000 (multiplicity 3)
O: 0.0000 0.0000 0.3746 (multiplicity 6)

Calculated values
E_form (uncorrected) in eV/atom: -0.571
VASP energy in eV per atom: -6.948


VASP calculation (PBE) on a geometry-optimized Ni10PtRh4 structure.

Lattice parameters (Å, degrees): 8.8415 7.1373 6.6625 90.00 111.98 90.00
Space group C2/m (No. 12)
Unique sites:
Ni: 0.0000 0.1911 0.0000 (multiplicity 4)
Ni: 0.1013 0.3098 0.4014 (multiplicity 8)
Ni: 0.2014 0.1901 0.8033 (multiplicity 8)
Pt: 0.0000 0.0000 0.5000 (multiplicity 2)
Rh: 0.0971 0.5000 0.8970 (multiplicity 4)
Rh: 0.2018 0.0000 0.2949 (multiplicity 4)

Calculated values
Formation energy from the elements in eV/f.u.: 3.12
VASP energy in eV per atom: -6.009


VASP calculation (PBE) on a geometry-optimized SiTcGeB2 structure.

Lattice parameters (Å, degrees): 3.8376 3.8376 5.0925 90.00 90.00 90.00
Space group P4/mmm (No. 123)
Unique sites:
Si: 0.0000 0.0000 0.0000 (multiplicity 1)
Tc: 0.5000 0.5000 0.5000 (multiplicity 1)
Ge: 0.0000 0.0000 0.5000 (multiplicity 1)
B: 0.0000 0.5000 0.0000 (multiplicity 2)

Calculated values
E_form (uncorrected) in eV/atom: 1.502
VASP energy in eV per atom: -5.250


VASP calculation (PBE) on a geometry-optimized Nd5Y2Ho3 structure.

Lattice parameters (Å, degrees): 10.7031 14.7636 10.1502 90.00 121.80 90.00
Space group C2/c (No. 15)
Unique sites:
Nd: 0.0000 0.0195 0.2500 (multiplicity 4)
Nd: 0.0000 0.2308 0.2500 (multiplicity 4)
Nd: 0.0000 0.4801 0.7500 (multiplicity 4)
Nd: 0.2504 0.1285 0.7522 (multiplicity 8)
Y: 0.1543 0.1277 0.0585 (multiplicity 8)
Ho: 0.0000 0.2709 0.7500 (multiplicity 4)
Ho: 0.1541 0.3747 0.5591 (multiplicity 8)

Calculated values
Formation energy from the elements in eV/f.u.: 1.78
VASP energy in eV per atom: -4.872


Q: What is the VASP energy in the second record?
A: -5.225 eV per atom


Q: The lowest VASP energy belongs to which entry?
A: Ti2FeHPt